[1]
{"formula": "PmNp2Sb", "functional": "GGA-PBE", "state": "optimized geometry", "e_tot_ev_per_atom": -8.74, "magmom_total_mub_per_fu": 9.2, "dos_ef_per_ev_cell": 11.05, "raw_formation_energy_ev_per_atom": -0.049, "lattice": [[4.511, 0.000, 0.000], [0.000, 4.511, 0.000], [0.000, 0.000, 5.082]], "species": ["Pm", "Np", "Np", "Sb"], "fractional_positions": [[0.000, 0.000, 0.000], [0.000, 0.500, 0.500], [0.500, 0.000, 0.500], [0.500, 0.500, 0.000]]}

=====

[2]
{"formula": "SrTlHgRu2", "functional": "GGA-PBE", "state": "optimized geometry", "e_tot_ev_per_atom": -3.42, "magmom_total_mub_per_fu": 2.8, "dos_ef_per_ev_cell": 6.99, "formation_energy_ev_per_fu": 5.8, "lattice": [[5.147, 0.000, 0.000], [0.000, 5.147, 0.000], [0.000, 0.000, 5.457]], "species": ["Sr", "Tl", "Hg", "Ru", "Ru"], "fractional_positions": [[0.000, 0.000, 0.000], [0.500, 0.500, 0.500], [0.500, 0.500, 0.000], [0.000, 0.500, 0.500], [0.500, 0.000, 0.500]]}

=====

[3]
{"formula": "GdErBeRh", "functional": "GGA-PBE", "state": "optimized geometry", "e_tot_ev_per_atom": -7.80, "magmom_total_mub_per_fu": 7.1, "dos_ef_per_ev_cell": 1.76, "formation_energy_ev_per_fu": -1.5, "lattice": [[0.000, 3.429, 3.429], [3.429, 0.000, 3.429], [3.429, 3.429, 0.000]], "species": ["Gd", "Er", "Be", "Rh"], "fractional_positions": [[0.000, 0.000, 0.000], [0.500, 0.500, 0.500], [0.250, 0.250, 0.250], [0.750, 0.750, 0.750]]}